Material: MgCdIN2
Method: DFT, PBE-GGA
State: optimized geometry

Cell: 4.3240 4.3240 6.0921 Å, 90.00 90.00 90.00°
With the nearest neighbours (Å) after each atom.
Fractional coordinates of all 5 atoms:
Mg: 0.0000 0.0000 0.0000  4 N 2.16
I: 0.0000 0.0000 0.5000  2 Mg 3.05, 4 Cd 3.06
Cd: 0.5000 0.5000 0.5000  4 I 3.06
N: 0.0000 0.5000 0.0000  2 Mg 2.16
N: 0.5000 0.0000 0.0000  2 Mg 2.16

Values from the calculation:
N(E_F) (states/eV/f.u.): 1.6
Volume (A^3/atom): 22.781
Space group: P4/mmm, No. 123
Uncorrected formation energy (eV per atom): 1.0874


Material: MgCdI2N
Method: DFT, PBE-GGA
State: optimized geometry

Cell: 5.9149 5.9149 4.1342 Å, 90.00 90.00 90.00°
With the nearest neighbours (Å) after each atom.
Fractional coordinates of all 5 atoms:
I: 0.0000 0.5000 0.0000  2 Mg 2.96
I: 0.5000 0.0000 0.0000  2 Mg 2.96
Cd: 0.5000 0.5000 0.5000  8 I 3.61
N: 0.0000 0.0000 0.5000  2 Mg 2.07
Mg: 0.0000 0.0000 0.0000  2 N 2.07

Values from the calculation:
N(E_F) (states/eV/f.u.): 2.2
Volume (A^3/atom): 28.928
Space group: P4/mmm, No. 123
Uncorrected formation energy (eV per atom): 0.2274


Material: Na2MgCdI6
Method: DFT, PBE-GGA
State: optimized geometry

Cell: 7.8445 7.8442 8.2217 Å, 61.49 61.47 59.95°
With the nearest neighbours (Å) after each atom.
Fractional coordinates of all 10 atoms:
I: 0.2013 0.9423 0.2621  1 Cd 2.99, 1 Mg 3.03, 2 Na 3.17-3.27
I: 0.7067 0.0844 0.7568  1 Mg 2.93, 1 Cd 3.13, 2 Na 3.18-3.24
I: 0.5944 0.2013 0.2622  1 Cd 2.99, 1 Mg 3.03, 2 Na 3.17-3.27
I: 0.0842 0.4525 0.7566  1 Mg 2.92, 1 Cd 3.14, 2 Na 3.17-3.25
I: 0.4521 0.7068 0.7567  1 Mg 2.92, 1 Cd 3.14, 2 Na 3.17-3.25
I: 0.9425 0.5943 0.2618  1 Cd 2.99, 1 Mg 3.03, 2 Na 3.17-3.27
Na: 0.5177 0.5176 0.4472  6 I 3.17-3.25
Na: 0.0210 0.0214 0.9369  6 I 3.17-3.27
Mg: 0.8216 0.8218 0.5341  6 I 2.92-3.03
Cd: 0.3201 0.3193 0.0407  6 I 2.99-3.14

Values from the calculation:
N(E_F) (states/eV/f.u.): 0.0
Volume (A^3/atom): 36.540
Space group: P1, No. 1
Uncorrected formation energy (eV per atom): -0.9315


Material: MgCdIO2
Method: DFT, PBE-GGA
State: optimized geometry

Cell: 4.0956 4.0956 6.0289 Å, 90.00 90.00 90.00°
With the nearest neighbours (Å) after each atom.
Fractional coordinates of all 5 atoms:
O: 0.0000 0.5000 0.0000  2 Mg 2.05
O: 0.5000 0.0000 0.0000  2 Mg 2.05
Mg: 0.0000 0.0000 0.0000  4 O 2.05
I: 0.0000 0.0000 0.5000  4 Cd 2.90, 2 Mg 3.01
Cd: 0.5000 0.5000 0.5000  4 I 2.90

Values from the calculation:
N(E_F) (states/eV/f.u.): 3.2
Volume (A^3/atom): 20.226
Space group: P4/mmm, No. 123
Uncorrected formation energy (eV per atom): -0.5632


Material: MgCdI2O
Method: DFT, PBE-GGA
State: optimized geometry

Cell: 5.9862 5.9862 4.0863 Å, 90.00 90.00 90.00°
With the nearest neighbours (Å) after each atom.
Fractional coordinates of all 5 atoms:
Mg: 0.5000 0.5000 0.5000  8 I 3.62
O: 0.0000 0.0000 0.5000  2 Cd 2.04
I: 0.0000 0.5000 0.0000  2 Cd 2.99
I: 0.5000 0.0000 0.0000  2 Cd 2.99
Cd: 0.0000 0.0000 0.0000  2 O 2.04

Values from the calculation:
N(E_F) (states/eV/f.u.): 8.1
Volume (A^3/atom): 29.286
Space group: P4/mmm, No. 123
Uncorrected formation energy (eV per atom): -0.2129


Material: MgCdIO2
Method: DFT, PBE-GGA
State: optimized geometry

Cell: 4.2436 4.2436 6.0920 Å, 90.00 90.00 90.00°
With the nearest neighbours (Å) after each atom.
Fractional coordinates of all 5 atoms:
O: 0.0000 0.5000 0.0000  2 Cd 2.12
O: 0.5000 0.0000 0.0000  2 Cd 2.12
I: 0.0000 0.0000 0.5000  4 Mg 3.00, 2 Cd 3.05
Cd: 0.0000 0.0000 0.0000  4 O 2.12
Mg: 0.5000 0.5000 0.5000  4 I 3.00

Values from the calculation:
N(E_F) (states/eV/f.u.): 2.4
Volume (A^3/atom): 21.941
Space group: P4/mmm, No. 123
Uncorrected formation energy (eV per atom): -0.1432


Material: Mg2CdIO6
Method: DFT, PBE-GGA
State: optimized geometry

Cell: 5.4104 5.4103 5.7580 Å, 61.97 61.97 60.00°
With the nearest neighbours (Å) after each atom.
Fractional coordinates of all 10 atoms:
O: 0.1507 0.3768 0.7655  1 I 2.00, 1 Mg 2.07
O: 0.9271 0.6018 0.2328  1 I 2.06, 2 Mg 2.08-2.16
O: 0.3768 0.7070 0.7655  1 I 2.00, 1 Mg 2.07
O: 0.6017 0.2383 0.2328  1 I 2.06, 2 Mg 2.08-2.16
O: 0.2383 0.9271 0.2328  1 I 2.06, 2 Mg 2.08-2.16
O: 0.7070 0.1507 0.7655  1 I 2.00, 1 Mg 2.07
Cd: 0.8002 0.8002 0.5995  6 O 2.25-2.47
Mg: 0.5259 0.5260 0.4222  6 O 2.08-2.25
Mg: 0.0128 0.0128 0.9618  6 O 2.07-2.16
I: 0.3210 0.3210 0.0369  6 O 2.00-2.06

Values from the calculation:
N(E_F) (states/eV/f.u.): 2.9
Volume (A^3/atom): 12.261
Space group: R3, No. 146
Uncorrected formation energy (eV per atom): -1.4035


Material: MgCdI2O
Method: DFT, PBE-GGA
State: optimized geometry

Cell: 5.8604 5.8604 3.8200 Å, 90.00 90.00 90.00°
With the nearest neighbours (Å) after each atom.
Fractional coordinates of all 5 atoms:
I: 0.5000 0.0000 0.0000  2 Mg 2.93
I: 0.0000 0.5000 0.0000  2 Mg 2.93
Mg: 0.0000 0.0000 0.0000  2 O 1.91
Cd: 0.5000 0.5000 0.5000  8 I 3.50, 2 Cd 3.82
O: 0.0000 0.0000 0.5000  2 Mg 1.91

Values from the calculation:
N(E_F) (states/eV/f.u.): 3.9
Volume (A^3/atom): 26.239
Space group: P4/mmm, No. 123
Uncorrected formation energy (eV per atom): -0.6034